## BaCdAg2 (PBE-GGA)

Data for a relaxed BaCdAg2 crystal.

- space group = F-43m (216)
- calculated density (g/cm³) = 6.93
- calculated volume (Å³/cell) = 111.5
- final energy (eV/f.u.) = -8.88

abc: 5.403 5.403 5.403
angles: 60.00 60.00 60.00
Sites, in units of the cell vectors:
Ag 0.000 0.000 0.000
Ag 0.250 0.250 0.250
Ba 0.500 0.500 0.500
Cd 0.750 0.750 0.750

---

## BaCd2Ag (PBE-GGA)

Data for a relaxed BaCd2Ag crystal.

- space group = P4/mmm (123)
- calculated density (g/cm³) = 7.07
- calculated volume (Å³/cell) = 110.4
- final energy (eV/f.u.) = -7.15

abc: 3.700 3.698 8.070
angles: 90.00 90.00 90.00
Sites, in units of the cell vectors:
Cd 0.000 0.000 0.062
Cd 0.000 0.000 0.438
Ag 0.500 0.500 0.250
Ba 0.500 0.500 0.750

---

## BaCdAg5 (PBE-GGA)

Data for a relaxed BaCdAg5 crystal.

- space group = Pnma (62)
- calculated density (g/cm³) = 8.15
- calculated volume (Å³/cell) = 643.1
- final energy (eV/f.u.) = -18.25

abc: 5.995 9.196 11.665
angles: 90.00 90.00 90.00
Sites, in units of the cell vectors:
Ag 0.250 0.181 0.241
Ag 0.492 0.064 0.691
Ag 0.750 0.574 0.598
Ag 0.992 0.436 0.191
Ag 0.750 0.401 0.981
Ag 0.992 0.936 0.309
Ag 0.008 0.064 0.691
Ag 0.750 0.074 0.902
Ag 0.250 0.426 0.402
Ag 0.250 0.599 0.019
Ag 0.250 0.926 0.098
Ag 0.250 0.681 0.259
Ag 0.492 0.564 0.809
Ag 0.508 0.936 0.309
Ag 0.508 0.436 0.191
Ag 0.750 0.319 0.741
Ag 0.750 0.901 0.519
Ag 0.750 0.819 0.759
Ag 0.008 0.564 0.809
Ag 0.250 0.099 0.481
Cd 0.250 0.352 0.642
Cd 0.750 0.648 0.358
Cd 0.750 0.148 0.142
Cd 0.250 0.852 0.858
Ba 0.250 0.739 0.560
Ba 0.250 0.239 0.940
Ba 0.750 0.761 0.060
Ba 0.750 0.261 0.440

---

## Ba2Cd2Ag7 (PBE-GGA)

Data for a relaxed Ba2Cd2Ag7 crystal.

- space group = C2/m (12)
- calculated density (g/cm³) = 7.29
- calculated volume (Å³/cell) = 285.8
- final energy (eV/f.u.) = -27.16

abc: 6.007 7.516 7.516
angles: 75.83 113.01 113.01
Sites, in units of the cell vectors:
Ag 0.832 0.088 0.583
Ag 0.168 0.417 0.912
Ag 0.503 0.756 0.756
Ag 0.832 0.583 0.088
Ag 0.497 0.244 0.244
Ag 0.168 0.912 0.417
Ag 0.000 0.000 0.000
Ba 0.500 0.746 0.254
Ba 0.500 0.254 0.746
Cd 0.992 0.248 0.248
Cd 0.008 0.752 0.752

---

## BaCd6Ag2 (PBE-GGA)

Data for a relaxed BaCd6Ag2 crystal.

- space group = Fd-3m (227)
- calculated density (g/cm³) = 6.02
- calculated volume (Å³/cell) = 566.9
- final energy (eV/f.u.) = -11.96

abc: 9.290 9.290 9.290
angles: 60.00 60.00 60.00
Sites, in units of the cell vectors:
Cd 0.014 0.486 0.014
Cd 0.486 0.014 0.014
Cd 0.486 0.014 0.486
Cd 0.486 0.486 0.014
Cd 0.764 0.236 0.764
Cd 0.236 0.764 0.764
Cd 0.236 0.236 0.764
Cd 0.764 0.236 0.236
Cd 0.014 0.486 0.486
Cd 0.764 0.764 0.236
Cd 0.236 0.764 0.236
Cd 0.014 0.014 0.486
Ag 0.125 0.125 0.125
Ag 0.125 0.125 0.625
Ag 0.625 0.125 0.125
Ag 0.125 0.625 0.125
Ba 0.750 0.750 0.750
Ba 0.500 0.500 0.500

---

## BaCd2Ag (PBE-GGA)

Data for a relaxed BaCd2Ag crystal.

- space group = Pmm2 (25)
- calculated density (g/cm³) = 6.75
- calculated volume (Å³/cell) = 115.6
- final energy (eV/f.u.) = -7.11

abc: 3.904 3.946 7.504
angles: 90.00 90.00 90.00
Sites, in units of the cell vectors:
Cd 0.500 0.500 0.262
Cd 0.000 0.000 0.054
Ag 0.000 0.000 0.444
Ba 0.500 0.500 0.740

---

## BaCdAg2 (PBE-GGA)

Data for a relaxed BaCdAg2 crystal.

- space group = Cm (8)
- calculated density (g/cm³) = 6.62
- calculated volume (Å³/cell) = 116.8
- final energy (eV/f.u.) = -9.40

abc: 4.893 4.893 6.295
angles: 67.21 67.21 60.07
Sites, in units of the cell vectors:
Ag 0.300 0.300 0.101
Ag 0.995 0.995 0.016
Ba 0.501 0.501 0.495
Cd 0.704 0.704 0.888

---

## Ba2CdAg3 (PBE-GGA)

Data for a relaxed Ba2CdAg3 crystal.

- space group = Fmmm (69)
- calculated density (g/cm³) = 6.24
- calculated volume (Å³/cell) = 378.4
- final energy (eV/f.u.) = -15.02

abc: 6.652 6.652 9.678
angles: 107.62 107.62 96.85
Sites, in units of the cell vectors:
Ag 0.834 0.332 0.166
Ag 0.668 0.166 0.834
Ag 0.166 0.668 0.834
Ag 0.166 0.166 0.332
Ag 0.834 0.834 0.668
Ag 0.332 0.834 0.166
Ba 0.250 0.750 0.500
Ba 0.753 0.753 0.000
Ba 0.750 0.250 0.500
Ba 0.247 0.247 0.000
Cd 0.667 0.667 0.333
Cd 0.333 0.333 0.667